Below is crystalline LiMn2B2O6 at its relaxed geometry, with properties calculated at the GGA+U level.

```
LiMn2B2O6
1.0
5.318 0.000 0.000
0.000 9.059 0.000
-0.372 0.000 10.368
Li Mn B O
4 8 8 24
Direct
0.000 0.003 0.000 Li
0.000 0.997 0.500 Li
0.764 0.481 0.748 Li
0.764 0.519 0.248 Li
0.276 0.303 0.214 Mn
0.276 0.697 0.714 Mn
0.484 0.195 0.957 Mn
0.484 0.805 0.457 Mn
0.786 0.148 0.707 Mn
0.786 0.852 0.207 Mn
0.979 0.345 0.470 Mn
0.979 0.655 0.970 Mn
0.287 0.351 0.720 B
0.287 0.649 0.220 B
0.475 0.148 0.453 B
0.475 0.852 0.953 B
0.813 0.188 0.201 B
0.813 0.812 0.701 B
0.958 0.313 0.956 B
0.958 0.687 0.456 B
0.037 0.329 0.676 O
0.037 0.671 0.176 O
0.195 0.301 0.018 O
0.195 0.699 0.518 O
0.346 0.272 0.399 O
0.346 0.728 0.899 O
0.351 0.018 0.464 O
0.351 0.982 0.964 O
0.406 0.483 0.710 O
0.406 0.517 0.210 O
0.422 0.228 0.773 O
0.422 0.772 0.273 O
0.565 0.198 0.151 O
0.565 0.802 0.651 O
0.726 0.166 0.498 O
0.726 0.834 0.998 O
0.841 0.178 0.921 O
0.841 0.822 0.421 O
0.845 0.443 0.934 O
0.845 0.557 0.434 O
0.920 0.320 0.249 O
0.920 0.680 0.749 O
0.944 0.061 0.193 O
0.944 0.939 0.693 O
```

Properties
Its calculated total energy is -7.49 eV per atom. The space group is Pc, No. 7.